[1]
VASP calculation (PBE-GGA) on crystalline Sr3TlAu2 at its relaxed geometry.

POSCAR file:
```
Sr3TlAu2
1.0
3.8665 0.0000 0.0000
0.0000 3.8665 0.0000
0.0000 0.0000 12.1904
Sr Tl Au
3 1 2
Cartesian
0.0000 0.0000 0.0000 Sr
0.0000 0.0000 3.8269 Sr
0.0000 0.0000 8.3636 Sr
1.9333 1.9333 6.0952 Tl
1.9333 1.9333 1.9345 Au
1.9333 1.9333 10.2559 Au
```

Output
E_form: -0.619 eV per atom
DOS(E_F): 0.848 states/eV per atom

***

[2]
VASP calculation (PBE-GGA) on crystalline RbReSb2Te at its relaxed geometry.

POSCAR file:
```
RbReSb2Te
1.0
5.1558 0.0000 0.0000
0.0000 5.1558 0.0000
0.0000 0.0000 6.1212
Rb Re Sb Te
1 1 2 1
Cartesian
0.0000 0.0000 0.0000 Rb
2.5779 2.5779 3.0606 Re
0.0000 2.5779 3.0606 Sb
2.5779 0.0000 3.0606 Sb
2.5779 2.5779 0.0000 Te
```

Output
E above lowest polymorph: 0.00 eV/f.u.
Raw formation energy: 0.291 eV per atom
DOS(E_F): 1.357 states/eV per atom

***

[3]
VASP calculation (PBE-GGA) on crystalline Na2ReCl4O2 at its relaxed geometry.

POSCAR file:
```
Na2ReCl4O2
1.0
5.9852 -3.5736 0.0000
5.9852 3.5736 0.0000
-2.6024 0.0000 5.6559
Na Re Cl O
2 1 4 2
Cartesian
2.2637 0.0000 1.1305 Na
7.1042 0.0000 4.5255 Na
-1.3012 0.0000 2.8280 Re
4.4057 1.8778 1.1422 Cl
4.9622 1.8778 4.5137 Cl
4.4057 -1.8778 1.1422 Cl
4.9622 -1.8778 4.5137 Cl
0.4557 0.0000 2.5009 O
8.9122 0.0000 3.1550 O
```

Output
Raw formation energy: -1.318 eV per atom

***

[4]
VASP calculation (PBE-GGA) on crystalline PmTlIr2 at its relaxed geometry.

POSCAR file:
```
PmTlIr2
1.0
4.5168 0.0000 0.0000
0.0000 4.5168 0.0000
0.0000 0.0000 3.8516
Pm Tl Ir
1 1 2
Cartesian
0.0000 0.0000 0.0000 Pm
2.2584 2.2584 0.0000 Tl
0.0000 2.2584 1.9258 Ir
2.2584 0.0000 1.9258 Ir
```

Output
E_form: -0.156 eV per atom
DOS(E_F): 0.174 states/eV per atom

***

[5]
VASP calculation (PBE-GGA) on crystalline Tb5Hg2Ir at its relaxed geometry.

POSCAR file:
```
Tb5Hg2Ir
1.0
2.8606 -6.2252 0.0000
2.8606 6.2252 0.0000
0.0000 0.0000 12.7014
Tb Hg Ir
10 4 2
Cartesian
2.8606 5.2816 7.6794 Tb
2.8606 5.2816 11.3727 Tb
2.8606 1.5626 7.2394 Tb
2.8606 1.5626 11.8128 Tb
2.8606 1.4208 3.1754 Tb
2.8606 -1.4208 9.5261 Tb
2.8606 -1.5626 0.8886 Tb
2.8606 -1.5626 5.4621 Tb
2.8606 -5.2816 1.3287 Tb
2.8606 -5.2816 5.0220 Tb
2.8606 4.0084 1.6130 Hg
2.8606 4.0084 4.7377 Hg
2.8606 -4.0084 7.9637 Hg
2.8606 -4.0084 11.0885 Hg
2.8606 3.3273 9.5261 Ir
2.8606 -3.3273 3.1754 Ir
```

Output
E above lowest polymorph: 2.15 eV/f.u.
E_form: -0.252 eV per atom
DOS(E_F): 0.995 states/eV per atom

***

[6]
VASP calculation (PBE-GGA) on crystalline LaInPb4 at its relaxed geometry.

POSCAR file:
```
LaInPb4
1.0
0.0000 4.5944 4.5944
4.5944 0.0000 4.5944
4.5944 4.5944 0.0000
La In Pb
1 1 4
Cartesian
0.0000 0.0000 0.0000 La
2.2972 2.2972 2.2972 In
5.7504 3.4384 3.4384 Pb
3.4384 5.7504 3.4384 Pb
3.4384 3.4384 5.7504 Pb
5.7504 5.7504 5.7504 Pb
```

Output
E_form: -0.102 eV per atom
DOS(E_F): 0.893 states/eV per atom

***

[7]
VASP calculation (PBE-GGA) on crystalline Dy6BiSe3S2 at its relaxed geometry.

POSCAR file:
```
Dy6BiSe3S2
1.0
8.9281 -2.0426 0.0000
8.9281 2.0426 0.0000
-1.9424 0.0000 7.9974
Dy Bi Se S
6 1 3 2
Cartesian
-0.3272 0.0000 2.1872 Dy
4.0768 0.0000 7.0912 Dy
5.0296 0.0000 3.4172 Dy
10.8842 0.0000 4.5801 Dy
11.8370 0.0000 0.9062 Dy
16.2410 0.0000 5.8102 Dy
8.9281 0.0000 0.0000 Bi
1.2591 0.0000 6.6784 Se
7.9569 0.0000 3.9987 Se
14.6546 0.0000 1.3189 Se
2.3750 0.0000 2.7223 S
13.5388 0.0000 5.2751 S
```

Output
Raw formation energy: -1.641 eV per atom
DOS(E_F): 0.388 states/eV per atom

***

[8]
VASP calculation (PBE-GGA) on crystalline HoPu2RhN4 at its relaxed geometry.

POSCAR file:
```
HoPu2RhN4
1.0
1.6789 -5.7035 0.0000
1.6789 5.7035 0.0000
0.0000 0.0000 11.6667
Ho Pu Rh N
2 4 2 8
Cartesian
1.6789 4.3951 8.7500 Ho
1.6789 -4.3951 2.9167 Ho
1.6789 1.4729 6.4726 Pu
1.6789 1.4729 11.0275 Pu
1.6789 -1.4729 0.6392 Pu
1.6789 -1.4729 5.1941 Pu
1.6789 4.0274 2.9167 Rh
1.6789 -4.0274 8.7500 Rh
0.0000 0.0000 0.0000 N
0.0000 0.0000 5.8334 N
1.6789 2.5984 1.3115 N
1.6789 2.5984 4.5219 N
1.6789 0.4010 8.7500 N
1.6789 -0.4010 2.9167 N
1.6789 -2.5984 7.1448 N
1.6789 -2.5984 10.3552 N
```

Output
Raw formation energy: -0.915 eV per atom
DOS(E_F): 1.649 states/eV per atom

***

[9]
VASP calculation (PBE-GGA) on crystalline NaBi3Au3 at its relaxed geometry.

POSCAR file:
```
NaBi3Au3
1.0
4.3019 2.4837 6.0355
-4.3019 2.4837 6.0355
0.0000 -4.9674 6.0355
Na Bi Au
2 6 6
Cartesian
0.0000 0.0000 3.0047 Na
0.0000 0.0000 15.1018 Na
-1.2429 -2.2177 7.4397 Bi
-2.5420 -0.0325 10.6669 Bi
-1.2991 2.1852 7.4397 Bi
1.2992 -2.1852 10.6669 Bi
2.5420 0.0325 7.4397 Bi
1.2429 2.2177 10.6669 Bi
-3.2014 -0.0402 7.6148 Au
-1.5659 -2.7926 10.4917 Au
1.6355 -2.7524 7.6148 Au
-1.6355 2.7524 10.4917 Au
1.5659 2.7926 7.6148 Au
3.2014 0.0402 10.4917 Au
```

Output
E above lowest polymorph: 0.35 eV/f.u.
E_form: -0.098 eV per atom
DOS(E_F): 0.337 states/eV per atom

***

[10]
VASP calculation (PBE-GGA) on crystalline LaNd6YTm2 at its relaxed geometry.

POSCAR file:
```
LaNd6YTm2
1.0
4.6484 -7.6722 0.0000
4.6484 7.6722 0.0000
-1.3439 0.0000 9.6800
La Nd Y Tm
2 12 2 4
Cartesian
3.6405 6.2315 7.2600 La
4.3124 -6.2315 2.4200 La
3.2241 6.0333 3.6717 Nd
2.4668 3.4824 1.7617 Nd
5.4007 6.0333 1.1683 Nd
3.3058 2.6877 5.3668 Nd
3.9752 2.6877 9.1532 Nd
6.1581 3.4824 3.0783 Nd
1.7948 -3.4824 6.6017 Nd
3.9777 -2.6877 0.5268 Nd
4.6471 -2.6877 4.3132 Nd
2.5522 -6.0333 8.5117 Nd
5.4861 -3.4824 7.9183 Nd
4.7288 -6.0333 6.0083 Nd
4.3124 0.4657 2.4200 Y
3.6405 -0.4657 7.2600 Y
1.0972 0.7521 9.2308 Tm
1.7691 -0.7521 4.3908 Tm
6.1838 0.7521 5.2892 Tm
6.8557 -0.7521 0.4492 Tm
```

Output
E_form: 0.111 eV per atom
DOS(E_F): 1.496 states/eV per atom

***

[11]
VASP calculation (PBE-GGA) on crystalline Tm8Zn3Te4Se at its relaxed geometry.

POSCAR file:
```
Tm8Zn3Te4Se
1.0
7.1188 -4.1141 0.0000
7.1188 4.1141 0.0000
-4.7409 0.0000 7.1681
Tm Zn Te Se
8 3 4 1
Cartesian
3.5496 2.0817 5.2048 Tm
0.0033 0.0000 5.2337 Tm
2.3458 0.0000 1.9632 Tm
5.9471 2.0817 1.9633 Tm
3.5496 -2.0817 5.2048 Tm
7.1509 0.0000 5.2050 Tm
9.4934 0.0000 1.9345 Tm
5.9471 -2.0817 1.9633 Tm
-2.3705 0.0000 3.5841 Zn
1.1889 2.0570 3.5841 Zn
1.1889 -2.0570 3.5841 Zn
0.0000 0.0000 0.0000 Te
3.5594 2.0570 0.0000 Te
3.5594 -2.0570 0.0000 Te
7.1188 0.0000 0.0000 Te
4.7483 0.0000 3.5841 Se
```

Output
Raw formation energy: -0.898 eV per atom
DOS(E_F): 0.739 states/eV per atom

***

[12]
VASP calculation (PBE-GGA) on crystalline Li2TlRh at its relaxed geometry.

POSCAR file:
```
Li2TlRh
1.0
-1.5482 2.2971 5.1918
1.5482 -2.2971 5.1918
1.5482 2.2971 -5.1918
Li Tl Rh
2 1 1
Cartesian
0.0000 0.0000 2.4071 Li
0.0000 0.0000 7.9765 Li
0.0000 0.0000 5.1918 Tl
0.0000 0.0000 0.0000 Rh
```

Output
E_form: 0.028 eV per atom
DOS(E_F): 0.454 states/eV per atom